Version a
Compound: NbCrTe2
Source: the Alexandria database
Functional: GGA-PBE
Structure: relaxed

POSCAR file:
```
NbCrTe2
1.0
1.887 0.000 9.163
-0.944 1.634 9.163
-0.944 -1.634 9.163
Cr Nb Te
1 1 2
Direct
0.500 0.500 0.500
0.000 0.000 0.000
0.899 0.899 0.899
0.101 0.101 0.101
```

- N(E_F) (states/eV per cell) = 3.4

=====

Version b
Compound: NbCrTe2
Source: the Alexandria database
Functional: GGA-PBE
Structure: relaxed

POSCAR file:
```
NbCrTe2
1.0
0.000 3.349 3.349
3.349 0.000 3.349
3.349 3.349 0.000
Cr Nb Te
1 1 2
Direct
0.000 0.000 0.000
0.500 0.500 0.500
0.250 0.250 0.250
0.750 0.750 0.750
```

- N(E_F) (states/eV per cell) = 8.6

=====

Version c
Compound: NbCrTe2
Source: the Alexandria database
Functional: GGA-PBE
Structure: relaxed

POSCAR file:
```
NbCrTe2
1.0
-2.238 5.013 3.174
-3.727 -3.827 3.417
1.730 -0.080 7.681
Cr Nb Te
2 2 4
Direct
0.500 0.500 0.000
0.250 0.750 0.500
0.000 0.000 0.000
0.750 0.250 0.500
0.622 0.125 0.250
0.128 0.625 0.250
0.375 0.378 0.750
0.875 0.872 0.750
```

- N(E_F) (states/eV per cell) = 4.7

=====

Stability, highest: version b

=====

Version a
Compound: TiNb3Cr
Source: the Alexandria database
Functional: GGA-PBE
Structure: relaxed

POSCAR file:
```
TiNb3Cr
1.0
-3.340 1.929 -2.537
-2.752 0.106 3.705
1.606 4.193 1.073
Cr Nb Ti
1 3 1
Direct
0.000 0.000 0.000
0.000 0.500 0.000
0.000 0.000 0.500
0.500 0.000 0.000
0.500 0.500 0.500
```

- N(E_F) (states/eV per cell) = 6.8

=====

Version b
Compound: TiNb3Cr
Source: the Alexandria database
Functional: GGA-PBE
Structure: relaxed

POSCAR file:
```
TiNb3Cr
1.0
-2.966 0.233 3.557
-3.356 -1.744 -2.684
1.203 -4.291 1.284
Cr Nb Ti
1 3 1
Direct
0.500 0.500 0.500
0.000 0.500 0.000
0.000 0.000 0.500
0.500 0.000 0.000
0.000 0.000 0.000
```

- N(E_F) (states/eV per cell) = 6.2

=====

Stability, highest: version a

=====

Version a
Compound: Ti2NbCr
Source: the Alexandria database
Functional: GGA-PBE
Structure: relaxed

POSCAR file:
```
Ti2NbCr
1.0
-2.139 1.612 -1.256
-0.392 -0.089 -2.931
-6.282 -5.989 -0.471
Cr Nb Ti
1 1 2
Direct
0.500 0.500 0.500
0.000 0.000 0.000
0.239 0.239 0.283
0.761 0.761 0.717
```

- N(E_F) (states/eV per cell) = 5.3

=====

Version b
Compound: Ti2NbCr
Source: the Alexandria database
Functional: GGA-PBE
Structure: relaxed

POSCAR file:
```
Ti2NbCr
1.0
-1.330 2.552 1.015
-2.355 -1.640 1.037
3.149 -0.739 5.985
Cr Nb Ti
1 1 2
Direct
0.500 0.500 0.000
0.500 0.500 0.500
0.000 0.000 0.786
0.000 0.000 0.214
```

- N(E_F) (states/eV per cell) = 6.3

=====

Version c
Compound: Ti2NbCr
Source: the Alexandria database
Functional: GGA-PBE
Structure: relaxed

POSCAR file:
```
Ti2NbCr
1.0
3.155 0.000 0.000
0.000 4.526 0.000
0.000 0.000 4.526
Cr Nb Ti
1 1 2
Direct
0.500 0.500 0.500
0.500 0.000 0.000
0.000 0.000 0.500
0.000 0.500 0.000
```

- N(E_F) (states/eV per cell) = 6.8

=====

Version d
Compound: Ti2NbCr
Source: the Alexandria database
Functional: GGA-PBE
Structure: relaxed

POSCAR file:
```
Ti2NbCr
1.0
6.932 0.000 0.000
0.000 6.932 0.000
3.466 3.466 2.719
Cr Nb Ti
2 2 4
Direct
0.500 0.500 0.000
0.250 0.750 0.500
0.000 0.000 0.000
0.750 0.250 0.500
0.595 0.125 0.250
0.155 0.625 0.250
0.375 0.405 0.750
0.875 0.845 0.750
```

- N(E_F) (states/eV per cell) = 10.6

=====

Stability, highest: version b

=====

Version a
Compound: TiNbCr2W
Source: the Alexandria database
Functional: GGA-PBE
Structure: relaxed

POSCAR file:
```
TiNbCr2W
1.0
4.190 0.000 0.000
0.000 4.190 0.000
0.000 0.000 4.760
Cr Nb W Ti
2 1 1 1
Direct
0.000 0.500 0.000
0.500 0.000 0.000
0.500 0.500 0.500
0.000 0.000 0.500
0.000 0.000 0.000
```

- N(E_F) (states/eV per cell) = 6.4

=====

Version b
Compound: TiNbCr2W
Source: the Alexandria database
Functional: GGA-PBE
Structure: relaxed

POSCAR file:
```
TiNbCr2W
1.0
-4.106 1.816 0.833
0.582 -0.874 4.777
1.922 4.109 0.517
Cr Nb W Ti
2 1 1 1
Direct
0.000 0.000 0.500
0.500 0.000 0.000
0.000 0.500 0.000
0.000 0.000 0.000
0.500 0.500 0.500
```

- N(E_F) (states/eV per cell) = 6.7

=====

Stability, highest: version a